Record 1
Zr2FeOs | PBE | optimized geometry

It has space group R3m (No. 160, hexagonal axes), with a = 2.9197 Å, b = 2.9197 Å, c = 28.8585 Å, α = 90.00°, β = 90.00° and γ = 120.00°. The distinct sites, in fractional coordinates, are Zr at (0.0000, 0.0000, 0.0000), Zr at (0.0000, 0.0000, 0.2334), Fe at (0.0000, 0.0000, 0.7482) and Os at (0.0000, 0.0000, 0.4824).

The energy comes out at -8.910 eV/atom.


Record 2
TaAlHg2 | PBE | optimized geometry

It has space group P4/mmm (No. 123), with a = 4.183 Å, b = 4.183 Å, c = 4.319 Å, α = 90.00°, β = 90.00° and γ = 90.00°. The distinct sites, in fractional coordinates, are Ta at (0.000, 0.000, 0.000), Al at (0.500, 0.500, 0.000) and Hg at (0.000, 0.500, 0.500).

The energy comes out at -3.774 eV/atom.


Record 3
TbPr3Nd3 | PBE | optimized geometry

It has space group R-3 (No. 148, hexagonal axes), with a = 8.8578 Å, b = 8.8578 Å, c = 22.4399 Å, α = 90.00°, β = 90.00° and γ = 120.00°. The distinct sites, in fractional coordinates, are Tb at (0.0000, 0.0000, 0.1546), Pr at (0.0038, 0.2413, 0.5584) and Nd at (0.0496, 0.4482, 0.3808).

The energy comes out at -4.538 eV/atom. The excess energy over the best structure of this formula in the dataset comes out at 1.298 eV per formula unit.